A plane-wave DFT calculation with PBE+U was carried out for an optimized crystal structure of NaVBP2H3O10.

Computed properties:
The raw total energy comes out at -0.249 Ha/atom. Its space-group type is C2/c, No. 15.

Cell: 6.7279 6.7279 9.2586 Å, 109.74 109.74 77.38°
Sites, in units of the cell vectors:
Na 0.1334 0.8666 0.7500
Na 0.8666 0.1334 0.2500
V 0.0000 0.5000 0.0000
V 0.5000 0.0000 0.5000
B 0.4703 0.5297 0.2500
B 0.5297 0.4703 0.7500
P 0.1559 0.2906 0.6768
P 0.2906 0.1559 0.1768
P 0.7094 0.8441 0.8232
P 0.8441 0.7094 0.3232
H 0.0000 0.5000 0.5000
H 0.3038 0.6633 0.4198
H 0.3367 0.6962 0.0802
H 0.5000 0.0000 0.0000
H 0.6633 0.3038 0.9198
H 0.6962 0.3367 0.5802
O 0.0317 0.6398 0.4578
O 0.0702 0.2710 0.1125
O 0.0714 0.2788 0.8080
O 0.2710 0.0702 0.6125
O 0.2788 0.0714 0.3080
O 0.3110 0.4662 0.7483
O 0.3145 0.5703 0.1020
O 0.3602 0.9683 0.0422
O 0.4297 0.6855 0.3980
O 0.4662 0.3110 0.2483
O 0.5338 0.6890 0.7517
O 0.5703 0.3145 0.6020
O 0.6398 0.0317 0.9578
O 0.6855 0.4297 0.8980
O 0.6890 0.5338 0.2517
O 0.7212 0.9286 0.6920
O 0.7290 0.9298 0.3875
O 0.9286 0.7212 0.1920
O 0.9298 0.7290 0.8875
O 0.9683 0.3602 0.5422